[1]
Entry from the Alexandria database: an optimized crystal structure of LiCS2Cl (PBE-GGA).

Values from the calculation:
Total DFT energy (no corrections) ... -2.594 eV/atom
Theoretical density ... 2.27 g cm⁻³
Volume ... 17.36 A^3/atom

a = 4.4606 Å, b = 4.4606 Å, c = 4.3624 Å
α = 90.00°, β = 90.00°, γ = 90.00°
Closest atoms and distances in Å follow each position.
Space group P4/mmm (No. 123)
Inequivalent atoms, fractional coordinates:
Li: 0.0000 0.0000 0.0000 [1 per cell]  2 Cl 2.18, 4 S 2.23
C: 0.5000 0.5000 0.5000 [1 per cell]  8 S 3.12, 4 Cl 3.15
S: 0.0000 0.5000 0.0000 [2 per cell]  2 Li 2.23
Cl: 0.0000 0.0000 0.5000 [1 per cell]  2 Li 2.18

---

[2]
Entry from the Alexandria database: an optimized crystal structure of ScPt2Rh (PBE-GGA).

Values from the calculation:
Calculated formation energy ... -797 meV/atom
Total DFT energy (no corrections) ... -7.238 eV/atom
Theoretical density ... 13.99 g cm⁻³
Volume ... 15.97 A^3/atom

a = 3.9684 Å, b = 3.9684 Å, c = 8.1106 Å
α = 90.00°, β = 90.00°, γ = 90.00°
Closest atoms and distances in Å follow each position.
Space group I4/mmm (No. 139)
Inequivalent atoms, fractional coordinates:
Sc: 0.0000 0.0000 0.0000 [2 per cell]  4 Rh 2.81, 8 Pt 2.84
Pt: 0.0000 0.5000 0.2500 [4 per cell]  4 Pt 2.81, 4 Sc 2.84, 4 Rh 2.84
Rh: 0.0000 0.0000 0.5000 [2 per cell]  4 Sc 2.81, 8 Pt 2.84

---

[3]
Entry from the Alexandria database: an optimized crystal structure of MgFe3W (PBE-GGA).

Values from the calculation:
Calculated formation energy ... 1271 meV/atom
Total DFT energy (no corrections) ... -6.716 eV/atom
Theoretical density ... 6.78 g cm⁻³
Volume ... 18.41 A^3/atom

a = 4.5152 Å, b = 4.5152 Å, c = 4.5152 Å
α = 90.00°, β = 90.00°, γ = 90.00°
Closest atoms and distances in Å follow each position.
Space group Pm-3m (No. 221)
Inequivalent atoms, fractional coordinates:
Mg: 0.0000 0.0000 0.0000 [1 per cell]  12 Fe 3.19
Fe: 0.0000 0.5000 0.5000 [3 per cell]  2 W 2.26
W: 0.5000 0.5000 0.5000 [1 per cell]  6 Fe 2.26

---

[4]
Entry from the Alexandria database: an optimized crystal structure of LaC2Se (PBE-GGA).

Values from the calculation:
Total DFT energy (no corrections) ... -5.753 eV/atom
Theoretical density ... 6.12 g cm⁻³
Volume ... 16.40 A^3/atom

a = 6.0523 Å, b = 6.0523 Å, c = 7.1652 Å
α = 90.00°, β = 90.00°, γ = 90.00°
Closest atoms and distances in Å follow each position.
Space group I-42d (No. 122)
Inequivalent atoms, fractional coordinates:
La: 0.0000 0.0000 0.0000 [4 per cell]  4 C 2.64
C: 0.1749 0.2500 0.6250 [8 per cell]  2 Se 2.05
Se: 0.0000 0.0000 0.5000 [4 per cell]  4 C 2.05

---

[5]
Entry from the Alexandria database: an optimized crystal structure of La6Si2C (PBE-GGA).

Values from the calculation:
Total DFT energy (no corrections) ... -5.900 eV/atom
Theoretical density ... 5.72 g cm⁻³
Volume ... 29.09 A^3/atom

a = 6.5393 Å, b = 8.2729 Å, c = 11.4534 Å
α = 90.00°, β = 122.34°, γ = 90.00°
Closest atoms and distances in Å follow each position.
Space group P2_1/c (No. 14)
Inequivalent atoms, fractional coordinates:
La: 0.1118 0.1557 0.4470 [4 per cell]  1 C 2.61
La: 0.3118 0.7074 0.4466 [4 per cell]  1 C 2.64
La: 0.3592 0.0363 0.2452 [4 per cell]  1 C 2.56
Si: 0.1939 0.1140 0.7594 [4 per cell]  8 La 3.08-3.34
C: 0.5000 0.0000 0.5000 [2 per cell]  6 La 2.56-2.64

---

[6]
Entry from the Alexandria database: an optimized crystal structure of Ho4Tm8Pu (PBE-GGA).

Values from the calculation:
Calculated formation energy ... 518 meV/atom
Total DFT energy (no corrections) ... -4.744 eV/atom
Theoretical density ... 8.44 g cm⁻³
Volume ... 34.11 A^3/atom

a = 10.7923 Å, b = 10.7923 Å, c = 13.1888 Å
α = 90.00°, β = 90.00°, γ = 120.00°
Closest atoms and distances in Å follow each position.
Space group R-3m (No. 166, hexagonal axes)
Inequivalent atoms, fractional coordinates:
Ho: 0.0000 0.0000 0.0000 [3 per cell]  8 Tm 3.23-3.24
Ho: 0.0000 0.5000 0.0000 [9 per cell]  8 Tm 3.32-3.33
Tm: 0.0000 0.0000 0.2449 [6 per cell]  4 Ho 3.23-3.33, 1 Pu 3.36
Tm: 0.0064 0.5032 0.7479 [18 per cell]  4 Ho 3.24-3.33, 1 Pu 3.37
Pu: 0.0000 0.0000 0.5000 [3 per cell]  8 Tm 3.36-3.37

---

[7]
Entry from the Alexandria database: an optimized crystal structure of ZrSc2Ru (PBE-GGA).

Values from the calculation:
Calculated formation energy ... -172 meV/atom
Total DFT energy (no corrections) ... -7.794 eV/atom
Theoretical density ... 6.02 g cm⁻³
Volume ... 19.47 A^3/atom

a = 4.7959 Å, b = 4.7959 Å, c = 6.7734 Å
α = 90.00°, β = 90.00°, γ = 90.00°
Closest atoms and distances in Å follow each position.
Space group I-4m2 (No. 119)
Inequivalent atoms, fractional coordinates:
Zr: 0.0000 0.0000 0.0000 [2 per cell]  4 Ru 2.94, 4 Sc 2.94
Sc: 0.0000 0.0000 0.5000 [2 per cell]  4 Ru 2.94, 4 Sc 2.94
Sc: 0.0000 0.5000 0.7500 [2 per cell]  4 Zr 2.94, 4 Sc 2.94
Ru: 0.0000 0.5000 0.2500 [2 per cell]  4 Zr 2.94, 4 Sc 2.94

---

[8]
Entry from the Alexandria database: an optimized crystal structure of MnPdRh6 (PBE-GGA).

Values from the calculation:
Calculated formation energy ... -29 meV/atom
Total DFT energy (no corrections) ... -7.338 eV/atom
Theoretical density ... 11.45 g cm⁻³
Volume ... 14.12 A^3/atom

a = 3.8368 Å, b = 3.8368 Å, c = 7.6746 Å
α = 90.00°, β = 90.00°, γ = 90.00°
Closest atoms and distances in Å follow each position.
Space group P4/mmm (No. 123)
Inequivalent atoms, fractional coordinates:
Mn: 0.0000 0.0000 0.0000 [1 per cell]  12 Rh 2.67-2.71
Pd: 0.0000 0.0000 0.5000 [1 per cell]  12 Rh 2.71-2.75
Rh: 0.0000 0.5000 0.2428 [4 per cell]  2 Mn 2.67, 8 Rh 2.67-2.75, 2 Pd 2.75
Rh: 0.5000 0.5000 0.0000 [1 per cell]  8 Rh 2.67, 4 Mn 2.71
Rh: 0.5000 0.5000 0.5000 [1 per cell]  4 Pd 2.71, 8 Rh 2.75

---

[9]
Entry from the Alexandria database: an optimized crystal structure of NaCrHg3 (PBE-GGA).

Values from the calculation:
Calculated formation energy ... 231 meV/atom
Total DFT energy (no corrections) ... -2.138 eV/atom
Theoretical density ... 7.40 g cm⁻³
Volume ... 30.38 A^3/atom

a = 5.3355 Å, b = 5.3355 Å, c = 5.3355 Å
α = 90.00°, β = 90.00°, γ = 90.00°
Closest atoms and distances in Å follow each position.
Space group Pm-3m (No. 221)
Inequivalent atoms, fractional coordinates:
Na: 0.0000 0.0000 0.0000 [1 per cell]  12 Hg 3.77
Cr: 0.5000 0.5000 0.5000 [1 per cell]  6 Hg 2.67
Hg: 0.0000 0.5000 0.5000 [3 per cell]  2 Cr 2.67

---

[10]
Entry from the Alexandria database: an optimized crystal structure of Mg6AlIn2 (PBE-GGA).

Values from the calculation:
Calculated formation energy ... -62 meV/atom
Total DFT energy (no corrections) ... -2.150 eV/atom
Theoretical density ... 3.33 g cm⁻³
Volume ... 22.29 A^3/atom

a = 8.5129 Å, b = 8.5129 Å, c = 3.1958 Å
α = 90.00°, β = 90.00°, γ = 120.00°
Closest atoms and distances in Å follow each position.
Space group P-62m (No. 189)
Inequivalent atoms, fractional coordinates:
Mg: 0.0000 0.3620 0.0000 [3 per cell]  1 Al 3.08, 4 In 3.16, 8 Mg 3.20-3.37
Mg: 0.0000 0.7103 0.5000 [3 per cell]  2 Al 2.94, 2 In 3.04, 6 Mg 3.20-3.25
Al: 0.0000 0.0000 0.0000 [1 per cell]  9 Mg 2.94-3.08, 2 Al 3.20
In: 0.3333 0.6667 0.5000 [2 per cell]  9 Mg 3.04-3.16, 2 In 3.20

---

[11]
Entry from the Alexandria database: an optimized crystal structure of SrPSe (PBE-GGA).

Values from the calculation:
Total DFT energy (no corrections) ... -3.791 eV/atom
Theoretical density ... 3.68 g cm⁻³
Volume ... 29.74 A^3/atom

a = 7.0934 Å, b = 7.0934 Å, c = 7.0934 Å
α = 90.00°, β = 90.00°, γ = 90.00°
Closest atoms and distances in Å follow each position.
Space group F-43m (No. 216)
Inequivalent atoms, fractional coordinates:
Sr: 0.0000 0.0000 0.0000 [4 per cell]  4 Se 3.07, 4 P 3.07
P: 0.2500 0.2500 0.7500 [4 per cell]  4 Sr 3.07
Se: 0.2500 0.2500 0.2500 [4 per cell]  4 Sr 3.07